A plane-wave DFT calculation with GGA-PBE was carried out for a geometry-optimized V2CrCdNi structure.

a b c (Å): 4.1691 4.1691 4.9671
angles (deg): 90.00 90.00 90.00
Last column: nearest neighbours and their distance in Å.
Positions (direct):
V (0.0000, 0.5000, 0.0000)  2 Cr 2.08
V (0.5000, 0.0000, 0.0000)  2 Cr 2.08
Cr (0.0000, 0.0000, 0.0000)  4 V 2.08
Cd (0.0000, 0.0000, 0.5000)  2 Cr 2.48
Ni (0.5000, 0.5000, 0.5000)  4 Cd 2.95, 8 V 3.24

Properties
calculated volume	86	Å³/f.u.
DFT formation energy	107	kJ/mol of atoms
DFT total energy	-0.4266	Ry per atom
symmetry	No. 123